A relaxed Pa2HRh crystal, computed with PBE.

Properties
Volume ... 17.22 Å³ per atom
Magnetic moment ... 0.0 μB per cell
Offset from the most stable computed form ... 0.000 eV per formula unit

a = 7.715 Å, b = 7.715 Å, c = 7.715 Å
α = 24.40°, β = 24.40°, γ = 24.40°
Fractional positions:
Pa 0.236 0.236 0.236
Pa 0.764 0.764 0.764
H 0.500 0.500 0.500
Rh 0.000 0.000 0.000

A relaxed BaSc2P crystal, computed with PBE.

Properties
Energy of formation ... -0.035 eV per atom
Volume ... 24.16 Å³ per atom
Magnetic moment ... 1.2 μB per cell

a = 4.632 Å, b = 4.632 Å, c = 4.504 Å
α = 90.00°, β = 90.00°, γ = 90.00°
Fractional positions:
Ba 0.000 0.000 0.000
Sc 0.000 0.500 0.500
Sc 0.500 0.000 0.500
P 0.500 0.500 0.000

A relaxed V3Ga2 crystal, computed with PBE.

Properties
Energy of formation ... -0.021 eV per atom
Volume ... 14.73 Å³ per atom
Magnetic moment ... 0.0 μB per cell

a = 9.920 Å, b = 3.170 Å, c = 9.370 Å
α = 90.00°, β = 90.00°, γ = 90.00°
Fractional positions:
V 0.031 0.250 0.097
V 0.071 0.750 0.582
V 0.144 0.250 0.770
V 0.356 0.750 0.270
V 0.429 0.250 0.082
V 0.469 0.750 0.597
V 0.531 0.250 0.403
V 0.571 0.750 0.918
V 0.644 0.250 0.730
V 0.856 0.750 0.230
V 0.929 0.250 0.418
V 0.969 0.750 0.903
Ga 0.106 0.750 0.302
Ga 0.230 0.750 0.996
Ga 0.270 0.250 0.496
Ga 0.394 0.250 0.802
Ga 0.606 0.750 0.198
Ga 0.730 0.750 0.504
Ga 0.770 0.250 0.004
Ga 0.894 0.250 0.698

A relaxed Pr5Sm8Al crystal, computed with PBE.

Properties
Energy of formation ... 0.126 eV per atom
Volume ... 34.44 Å³ per atom
Magnetic moment ... 0.0 μB per cell

a = 8.655 Å, b = 8.655 Å, c = 8.655 Å
α = 103.77°, β = 103.77°, γ = 121.59°
Fractional positions:
Pr 0.000 0.000 0.000
Pr 0.212 0.406 0.805
Pr 0.594 0.400 0.806
Pr 0.594 0.788 0.194
Pr 0.600 0.406 0.195
Sm 0.047 0.951 0.499
Sm 0.049 0.547 0.096
Sm 0.417 0.075 0.341
Sm 0.451 0.953 0.904
Sm 0.453 0.549 0.501
Sm 0.734 0.076 0.659
Sm 0.924 0.583 0.659
Sm 0.925 0.266 0.341
Al 0.250 0.750 0.500

A relaxed RePb3 crystal, computed with PBE.

Properties
Energy of formation ... 1.057 eV per atom
Volume ... 25.82 Å³ per atom
Magnetic moment ... 2.5 μB per cell
Offset from the most stable computed form ... 2.553 eV per formula unit

a = 6.167 Å, b = 6.167 Å, c = 6.167 Å
α = 117.01°, β = 117.01°, γ = 117.01°
Fractional positions:
Re 0.000 0.000 0.000
Pb 0.000 0.500 0.500
Pb 0.500 0.000 0.500
Pb 0.500 0.500 0.000

A relaxed La2AlCoC crystal, computed with PBE.

Properties
Energy of formation ... -0.197 eV per atom
Volume ... 21.42 Å³ per atom
Magnetic moment ... 0.0 μB per cell

a = 5.411 Å, b = 5.411 Å, c = 3.659 Å
α = 90.00°, β = 90.00°, γ = 90.00°
Fractional positions:
La 0.000 0.500 0.000
La 0.500 0.000 0.000
Al 0.000 0.000 0.500
Co 0.500 0.500 0.500
C 0.500 0.500 0.000

A relaxed AgH3Pt3 crystal, computed with PBE.

Properties
Volume ... 11.35 Å³ per atom
Magnetic moment ... 0.0 μB per cell
Offset from the most stable computed form ... 0.000 eV per formula unit

a = 7.876 Å, b = 7.876 Å, c = 7.876 Å
α = 37.05°, β = 37.05°, γ = 37.05°
Fractional positions:
Ag 0.166 0.166 0.166
Ag 0.834 0.834 0.834
H 0.137 0.427 0.717
H 0.283 0.863 0.573
H 0.427 0.717 0.137
H 0.573 0.283 0.863
H 0.717 0.137 0.427
H 0.863 0.573 0.283
Pt 0.052 0.725 0.389
Pt 0.275 0.611 0.948
Pt 0.389 0.052 0.725
Pt 0.611 0.948 0.275
Pt 0.725 0.389 0.052
Pt 0.948 0.275 0.611

A relaxed HfCo3Re crystal, computed with PBE.

Properties
Energy of formation ... 1.002 eV per atom
Volume ... 16.97 Å³ per atom
Magnetic moment ... 0.0 μB per cell
Offset from the most stable computed form ... 0.000 eV per formula unit

a = 4.394 Å, b = 4.394 Å, c = 4.394 Å
α = 90.00°, β = 90.00°, γ = 90.00°
Fractional positions:
Hf 0.000 0.000 0.000
Co 0.000 0.500 0.500
Co 0.500 0.000 0.500
Co 0.500 0.500 0.000
Re 0.500 0.500 0.500

A relaxed SrPmCd crystal, computed with PBE.

Properties
Energy of formation ... -0.150 eV per atom
Volume ... 35.19 Å³ per atom
Magnetic moment ... 0.3 μB per cell
Offset from the most stable computed form ... 0.018 eV per formula unit

a = 7.491 Å, b = 7.491 Å, c = 7.491 Å
α = 149.88°, β = 149.88°, γ = 43.11°
Fractional positions:
Sr 0.000 0.000 0.000
Pm 0.283 0.283 0.000
Cd 0.659 0.659 0.000

A relaxed Ac2Zn3CoCu12 crystal, computed with PBE.

Properties
Energy of formation ... 0.149 eV per atom
Volume ... 16.99 Å³ per atom
Magnetic moment ... 0.6 μB per cell

a = 9.661 Å, b = 9.661 Å, c = 9.661 Å
α = 37.94°, β = 37.94°, γ = 37.94°
Fractional positions:
Ac 0.153 0.153 0.153
Ac 0.847 0.847 0.847
Zn 0.000 0.500 0.500
Zn 0.500 0.000 0.500
Zn 0.500 0.500 0.000
Co 0.500 0.500 0.500
Cu 0.081 0.081 0.693
Cu 0.081 0.693 0.081
Cu 0.159 0.561 0.561
Cu 0.307 0.919 0.919
Cu 0.439 0.439 0.841
Cu 0.439 0.841 0.439
Cu 0.561 0.159 0.561
Cu 0.561 0.561 0.159
Cu 0.693 0.081 0.081
Cu 0.841 0.439 0.439
Cu 0.919 0.307 0.919
Cu 0.919 0.919 0.307

A relaxed SiB2PC crystal, computed with PBE.

Properties
Volume ... 12.48 Å³ per atom
Magnetic moment ... 0.0 μB per cell
Offset from the most stable computed form ... 0.805 eV per formula unit
ΔE_f (raw) ... 0.273 eV/atom

a = 4.275 Å, b = 4.275 Å, c = 5.330 Å
α = 106.56°, β = 106.56°, γ = 42.28°
Fractional positions:
Si 0.000 0.000 0.000
B 0.174 0.174 0.780
B 0.499 0.499 0.647
P 0.992 0.992 0.424
C 0.377 0.377 0.846

A relaxed Er6Tl3SeS2 crystal, computed with PBE.

Properties
Volume ... 25.00 Å³ per atom
Magnetic moment ... 0.0 μB per cell
ΔE_f (raw) ... -1.101 eV/atom

a = 6.618 Å, b = 6.618 Å, c = 8.205 Å
α = 97.69°, β = 97.69°, γ = 119.96°
Fractional positions:
Er 0.089 0.431 0.792
Er 0.225 0.225 0.205
Er 0.431 0.089 0.792
Er 0.569 0.911 0.208
Er 0.775 0.775 0.795
Er 0.911 0.569 0.208
Tl 0.000 0.000 0.500
Tl 0.339 0.661 0.500
Tl 0.661 0.339 0.500
Se 0.500 0.500 0.000
S 0.168 0.832 0.000
S 0.832 0.168 0.000

A relaxed TiOs2W crystal, computed with PBE.

Properties
Energy of formation ... -0.228 eV per atom
Volume ... 15.02 Å³ per atom
Magnetic moment ... 0.0 μB per cell

a = 2.999 Å, b = 2.999 Å, c = 6.683 Å
α = 90.00°, β = 90.00°, γ = 90.00°
Fractional positions:
Ti 0.000 0.000 0.000
Os 0.500 0.500 0.234
Os 0.500 0.500 0.766
W 0.000 0.000 0.500

A relaxed InSi2P crystal, computed with PBE.

Properties
Volume ... 18.65 Å³ per atom
Magnetic moment ... 0.0 μB per cell
Offset from the most stable computed form ... 0.572 eV per formula unit
ΔE_f (raw) ... 0.265 eV/atom

a = 4.864 Å, b = 3.406 Å, c = 4.907 Å
α = 90.00°, β = 113.37°, γ = 90.00°
Fractional positions:
In 0.000 0.000 0.000
Si 0.281 0.500 0.713
Si 0.719 0.500 0.287
P 0.500 0.000 0.500

A relaxed CePr2Sm3P6 crystal, computed with PBE.

Properties
Energy of formation ... -1.549 eV per atom
Volume ... 24.98 Å³ per atom
Magnetic moment ... 0.3 μB per cell

a = 7.161 Å, b = 7.161 Å, c = 7.158 Å
α = 99.60°, β = 99.60°, γ = 119.98°
Fractional positions:
Ce 0.000 0.000 0.000
Pr 0.334 0.666 0.000
Pr 0.666 0.334 0.000
Sm 0.168 0.832 0.500
Sm 0.500 0.500 0.500
Sm 0.832 0.168 0.500
P 0.084 0.410 0.252
P 0.242 0.242 0.749
P 0.410 0.084 0.252
P 0.590 0.916 0.748
P 0.758 0.758 0.251
P 0.916 0.590 0.748

A relaxed Ca2AgSb2 crystal, computed with PBE.

Properties
Volume ... 29.01 Å³ per atom
Magnetic moment ... 0.0 μB per cell
Offset from the most stable computed form ... 1.426 eV per formula unit
ΔE_f (raw) ... -0.419 eV/atom

a = 9.138 Å, b = 9.138 Å, c = 3.474 Å
α = 90.00°, β = 90.00°, γ = 90.00°
Fractional positions:
Ca 0.135 0.365 0.000
Ca 0.365 0.865 0.000
Ca 0.635 0.135 0.000
Ca 0.865 0.635 0.000
Ag 0.000 0.000 0.000
Ag 0.500 0.500 0.000
Sb 0.167 0.667 0.500
Sb 0.333 0.167 0.500
Sb 0.667 0.833 0.500
Sb 0.833 0.333 0.500

A relaxed SbTeMo2 crystal, computed with PBE.

Properties
Volume ... 19.81 Å³ per atom
Magnetic moment ... 0.0 μB per cell
Offset from the most stable computed form ... 2.460 eV per formula unit
ΔE_f (raw) ... 0.736 eV/atom

a = 3.192 Å, b = 3.192 Å, c = 8.628 Å
α = 90.00°, β = 90.00°, γ = 115.62°
Fractional positions:
Sb 0.000 0.000 0.000
Te 0.000 0.000 0.500
Mo 0.500 0.500 0.249
Mo 0.500 0.500 0.751

A relaxed Hf5Si2Sb crystal, computed with PBE.

Properties
Volume ... 19.50 Å³ per atom
Magnetic moment ... 0.0 μB per cell
ΔE_f (raw) ... -0.695 eV/atom

a = 8.072 Å, b = 8.072 Å, c = 8.072 Å
α = 128.68°, β = 128.68°, γ = 75.53°
Fractional positions:
Hf 0.000 0.000 0.000
Hf 0.019 0.519 0.823
Hf 0.196 0.019 0.500
Hf 0.304 0.804 0.823
Hf 0.481 0.304 0.500
Hf 0.500 0.500 0.000
Hf 0.519 0.696 0.500
Hf 0.696 0.196 0.177
Hf 0.804 0.981 0.500
Hf 0.981 0.481 0.177
Si 0.133 0.367 0.500
Si 0.367 0.867 0.233
Si 0.633 0.133 0.767
Si 0.867 0.633 0.500
Sb 0.250 0.250 0.000
Sb 0.750 0.750 0.000

A relaxed KNa2AuF crystal, computed with PBE.

Properties
Volume ... 23.72 Å³ per atom
Magnetic moment ... 0.0 μB per cell
ΔE_f (raw) ... -1.143 eV/atom

a = 4.744 Å, b = 4.744 Å, c = 5.270 Å
α = 90.00°, β = 90.00°, γ = 90.00°
Fractional positions:
K 0.000 0.000 0.000
Na 0.000 0.500 0.500
Na 0.500 0.000 0.500
Au 0.500 0.500 0.000
F 0.000 0.000 0.500